Record 1
An optimized crystal structure of MgAlSnHg, computed with PBE.

Lattice parameters (Å, degrees): 5.045 5.045 5.045 60.00 60.00 60.00
Positions (direct):
Hg1 0.500 0.500 0.500
Sn1 0.000 0.000 0.000
Al1 0.750 0.750 0.750
Mg1 0.250 0.250 0.250

Output
The calculation puts the calculated formation energy at 71 meV/atom. Its total energy is -2.3398 eV per atom. The density of states at the Fermi level is 2.8 states/eV per cell.

---

Record 2
An optimized crystal structure of Nd2BSe, computed with PBE.

Lattice parameters (Å, degrees): 4.000 4.000 7.427 74.38 74.38 60.00
Positions (direct):
B1 0.000 0.000 0.000
Nd1 0.742 0.742 0.774
Nd2 0.258 0.258 0.226
Se1 0.500 0.500 0.500

Output
Its total energy is -5.7515 eV per atom. The density of states at the Fermi level is 4.1 states/eV per cell. For the energy relative to the elements, uncorrected, the calculation gives -0.8271 eV/atom.

---

Record 3
An optimized crystal structure of AsIr2Rh, computed with PBE.

Lattice parameters (Å, degrees): 3.878 2.842 5.587 75.23 90.00 90.00
Positions (direct):
Ir1 0.500 0.188 0.249
As1 0.500 0.957 0.711
Ir2 0.000 0.808 0.008
Rh1 0.000 0.546 0.532

Output
The calculation puts the calculated formation energy at 40 meV/atom. Its total energy is -7.3911 eV per atom. The density of states at the Fermi level is 5.2 states/eV per cell.